This record from Alexandria via LeMat-Bulk describes Ce6Ge3As after structural relaxation. The functional is GGA-PBE.

abc: 7.1409 8.1214 12.1549
angles: 90.00 125.68 90.00
Space group P2_1/c (No. 14)
Unique sites:
Ce 0.0604 0.0738 0.2500 (multiplicity 4)
Ce 0.2347 0.6792 0.0762 (multiplicity 4)
Ce 0.4133 0.1773 0.0724 (multiplicity 4)
Ge 0.2996 0.1225 0.7521 (multiplicity 4)
Ge 0.5000 0.0000 0.5000 (multiplicity 2)
As 0.0000 0.0000 0.0000 (multiplicity 2)

The value obtained for the energy relative to the elements is -0.600 eV per atom. The value obtained for the calculated density is 6.6 Mg/m³. Its total magnetization is 8.055 μB per formula unit. The calculation puts the uncorrected energy at -6.011 eV per atom.